Record 1
LiScTl2Cl6 after structural relaxation, computed with PBE-GGA.

a b c (Å): 7.1476 7.1776 12.4135
angles (deg): 90.00 125.10 90.00
Space group P2_1/c (No. 14)
Inequivalent atoms, fractional coordinates:
Li 0.0000 0.0000 0.0000
Sc 0.5000 0.0000 0.5000
Tl 0.2440 0.0326 0.7493
Cl 0.2021 0.2148 0.4763
Cl 0.2638 0.7253 0.4775
Cl 0.3013 0.0039 0.2555

Summary:
* size of the total moment: 0.00 μB/f.u.
* energy relative to the elements, uncorrected: -1.63 eV per atom
* total energy: -80.78 eV for the cell shown
* DOS(E_F): 0.00 states/eV per atom
* distance to the lowest polymorph of the same formula: 0.000 eV/atom



Record 2
LiScTl2Cl6 after structural relaxation, computed with PBE-GGA.

a b c (Å): 10.1285 10.1285 10.1285
angles (deg): 90.00 90.00 90.00
Space group Fm-3m (No. 225)
Inequivalent atoms, fractional coordinates:
Li 0.0000 0.0000 0.0000
Sc 0.0000 0.0000 0.5000
Tl 0.2500 0.2500 0.2500
Cl 0.0000 0.0000 0.2538

Summary:
* size of the total moment: 0.00 μB/f.u.
* energy relative to the elements, uncorrected: -1.63 eV per atom
* total energy: -161.38 eV for the cell shown
* DOS(E_F): 0.00 states/eV per atom
* distance to the lowest polymorph of the same formula: 0.004 eV/atom



Record 3
Li2ScTlCl6 after structural relaxation, computed with PBE-GGA.

a b c (Å): 6.4515 6.4515 22.8647
angles (deg): 90.00 90.00 120.00
Space group R-3 (No. 148, hexagonal axes)
Inequivalent atoms, fractional coordinates:
Li 0.0000 0.0000 0.1717
Sc 0.0000 0.0000 0.5000
Tl 0.0000 0.0000 0.0000
Cl 0.0010 0.3227 0.5613

Summary:
* size of the total moment: 0.00 μB/f.u.
* energy relative to the elements, uncorrected: -1.79 eV per atom
* total energy: -124.56 eV for the cell shown
* DOS(E_F): 0.00 states/eV per atom



Record 4
LiScZnCl6 after structural relaxation, computed with PBE-GGA.

a b c (Å): 6.3303 6.3303 11.8088
angles (deg): 90.00 90.00 120.00
Space group P-31c (No. 163)
Inequivalent atoms, fractional coordinates:
Li 0.0000 0.0000 0.0000
Sc 0.3333 0.6667 0.2500
Zn 0.3333 0.6667 0.7500
Cl 0.0019 0.3500 0.6307

Summary:
* size of the total moment: 0.00 μB/f.u.
* energy relative to the elements, uncorrected: -1.67 eV per atom
* total energy: -71.22 eV for the cell shown
* DOS(E_F): 0.00 states/eV per atom



Record 5
Li2SeCl after structural relaxation, computed with PBE-GGA.

a b c (Å): 3.4535 3.4535 20.4577
angles (deg): 90.00 90.00 120.00
Space group R-3m (No. 166, hexagonal axes)
Inequivalent atoms, fractional coordinates:
Li 0.0000 0.0000 0.2402
Se 0.0000 0.0000 0.0000
Cl 0.0000 0.0000 0.5000

Summary:
* size of the total moment: 0.00 μB/f.u.
* energy relative to the elements, uncorrected: -1.23 eV per atom
* total energy: -42.26 eV for the cell shown
* DOS(E_F): 0.39 states/eV per atom
* distance to the lowest polymorph of the same formula: 0.000 eV/atom



Record 6
Li2SeCl after structural relaxation, computed with PBE-GGA.

a b c (Å): 3.2893 3.3647 7.0046
angles (deg): 90.00 90.00 90.00
Space group Pmm2 (No. 25)
Inequivalent atoms, fractional coordinates:
Li 0.0000 0.0000 0.0000
Li 0.5000 0.5000 0.4410
Se 0.0000 0.0000 0.6247
Cl 0.5000 0.5000 0.1056

Summary:
* size of the total moment: 0.00 μB/f.u.
* energy relative to the elements, uncorrected: -1.23 eV per atom
* total energy: -14.08 eV for the cell shown
* DOS(E_F): 0.24 states/eV per atom
* distance to the lowest polymorph of the same formula: 0.002 eV/atom



Record 7
Li2SeCl after structural relaxation, computed with PBE-GGA.

a b c (Å): 4.9868 4.9868 5.7923
angles (deg): 90.00 90.00 90.00
Space group I4/mmm (No. 139)
Inequivalent atoms, fractional coordinates:
Li 0.0000 0.5000 0.2500
Se 0.0000 0.0000 0.0000
Cl 0.0000 0.0000 0.5000

Summary:
* size of the total moment: 0.00 μB/f.u.
* energy relative to the elements, uncorrected: -0.95 eV per atom
* total energy: -25.95 eV for the cell shown
* DOS(E_F): 0.20 states/eV per atom
* distance to the lowest polymorph of the same formula: 0.278 eV/atom



Record 8
LiSeCl after structural relaxation, computed with PBE-GGA.

a b c (Å): 3.8923 3.8923 10.2053
angles (deg): 90.00 90.00 90.00
Space group I4mm (No. 107)
Inequivalent atoms, fractional coordinates:
Li 0.0000 0.0000 0.0000
Se 0.0000 0.0000 0.5078
Cl 0.0000 0.0000 0.7277

Summary:
* size of the total moment: 0.00 μB/f.u.
* energy relative to the elements, uncorrected: -0.62 eV per atom
* total energy: -18.20 eV for the cell shown
* DOS(E_F): 0.20 states/eV per atom
* distance to the lowest polymorph of the same formula: 0.517 eV/atom



Record 9
Li2SeCl after structural relaxation, computed with PBE-GGA.

a b c (Å): 3.1627 3.1627 7.0576
angles (deg): 90.00 90.00 90.00
Space group P4/mmm (No. 123)
Inequivalent atoms, fractional coordinates:
Li 0.0000 0.0000 0.2262
Se 0.5000 0.5000 0.5000
Cl 0.5000 0.5000 0.0000

Summary:
* size of the total moment: 0.00 μB/f.u.
* energy relative to the elements, uncorrected: -1.11 eV per atom
* total energy: -13.60 eV for the cell shown
* DOS(E_F): 0.23 states/eV per atom
* distance to the lowest polymorph of the same formula: 0.122 eV/atom



Record 10
LiSeCl4 after structural relaxation, computed with PBE-GGA.

a b c (Å): 7.0286 7.0518 8.8761
angles (deg): 90.00 90.00 90.00
Space group P222 (No. 16)
Inequivalent atoms, fractional coordinates:
Li 0.0000 0.0000 0.0000
Li 0.0000 0.5000 0.5000
Se 0.0000 0.0000 0.5000
Se 0.5000 0.0000 0.0000
Cl 0.2363 0.2430 0.4928
Cl 0.2560 0.2354 0.9930

Summary:
* size of the total moment: 1.00 μB/f.u.
* energy relative to the elements, uncorrected: -0.71 eV per atom
* total energy: -34.03 eV for the cell shown
* distance to the lowest polymorph of the same formula: 0.026 eV/atom



Record 11
Li2SeCl after structural relaxation, computed with PBE-GGA.

a b c (Å): 3.4939 3.4939 17.6258
angles (deg): 90.00 90.00 90.00
Space group I-4m2 (No. 119)
Inequivalent atoms, fractional coordinates:
Li 0.0000 0.0000 0.0000
Li 0.0000 0.5000 0.2500
Se 0.0000 0.5000 0.7500
Cl 0.0000 0.0000 0.5000

Summary:
* size of the total moment: 0.00 μB/f.u.
* energy relative to the elements, uncorrected: -1.05 eV per atom
* total energy: -26.73 eV for the cell shown
* DOS(E_F): 0.48 states/eV per atom
* distance to the lowest polymorph of the same formula: 0.181 eV/atom



Record 12
LiSeCl after structural relaxation, computed with PBE-GGA.

a b c (Å): 6.9280 6.9280 6.9280
angles (deg): 90.00 90.00 90.00
Space group F-43m (No. 216)
Inequivalent atoms, fractional coordinates:
Li 0.0000 0.0000 0.0000
Se 0.0000 0.0000 0.5000
Cl 0.2500 0.2500 0.7500

Summary:
* size of the total moment: 2.01 μB/f.u.
* energy relative to the elements, uncorrected: -0.11 eV per atom
* total energy: -30.26 eV for the cell shown
* DOS(E_F): 0.60 states/eV per atom
* distance to the lowest polymorph of the same formula: 1.028 eV/atom